First-principles (PBE-GGA) data for a relaxed Zr2FeSi crystal, as listed in Alexandria.

Results
The symmetry is Imm2, No. 44. The total energy is -32.47 eV/cell.

abc: 5.7479 5.7479 5.7479
angles: 148.40 135.90 55.26
Last column: nearest neighbours and their distance in Å.
Element x y z (fractional)
Zr 0.0000 0.0000 0.0000  4 Si 2.79, 2 Fe 2.91
Zr 0.7272 0.2272 0.5000  4 Fe 2.67, 2 Si 2.90
Fe 0.2406 0.7406 0.5000  2 Si 2.39, 4 Zr 2.67
Si 0.4176 0.4176 0.0000  2 Fe 2.39